1.
Material: TiGaAg
Method: DFT, PBE-GGA
State: relaxed

POSCAR file:
```
TiGaAg
1.0
4.191 0.000 0.000
0.000 3.745 0.000
-2.082 0.000 6.351
Ti Ga Ag
2 2 2
Cartesian
0.000 0.936 1.016
2.109 2.809 5.335
0.013 0.936 5.366
2.096 2.809 0.986
0.007 2.809 3.316
2.103 0.936 3.036
```

Calculated values
- space group = P2_1/m
- final energy (eV/atom) = -4.786
- formation energy from the elements (eV per atom) = -0.19
- calculated volume (Å³/f.u.) = 50

***

2.
Material: TiGaAg2
Method: DFT, PBE-GGA
State: relaxed

POSCAR file:
```
TiGaAg2
1.0
1.424 0.822 10.312
-1.424 0.822 10.312
0.000 -1.645 10.312
Ti Ga Ag
1 1 2
Cartesian
0.000 0.000 0.000
0.000 0.000 15.469
0.000 0.000 2.698
0.000 0.000 28.239
```

Calculated values
- space group = R-3m
- final energy (eV/atom) = -3.932
- formation energy from the elements (eV per atom) = 0.22
- calculated volume (Å³/f.u.) = 72